[1]
First-principles (PBE) data for Al5ZnCr after structural relaxation, as listed in Alexandria via LeMat-Bulk.

Computed properties:
SG: Imm2
Energy of formation from the pure elements: 0.61 eV/atom

Lattice parameters (Å, degrees): 4.886 7.180 6.240 125.12 113.05 90.00
Last column: magnetic moment on the atom in μB.
Element x y z (fractional)
Al 0.034 0.500 0.000  -0.02
Cr 0.848 0.000 0.000  3.60
Al 0.964 0.757 0.514  -0.02
Al 0.348 0.815 0.000  -0.01
Al 0.450 0.243 0.486  -0.02
Zn 0.539 0.500 0.000  -0.01
Al 0.348 0.185 0.000  -0.01

[2]
First-principles (PBE) data for La2ThGa3Pd4 after structural relaxation, as listed in Alexandria via LeMat-Bulk.

Computed properties:
SG: P-4m2
Energy of formation from the pure elements: -0.78 eV/atom

Lattice parameters (Å, degrees): 4.492 4.492 10.919 90.00 90.00 90.00
Element x y z (fractional)
Pd 0.500 0.500 0.000
La 0.000 0.500 0.777
La 0.500 0.000 0.223
Ga 0.500 0.000 0.888
Pd 0.500 0.000 0.658
Ga 0.000 0.000 0.500
Ga 0.000 0.500 0.112
Pd 0.000 0.000 0.000
Th 0.500 0.500 0.500
Pd 0.000 0.500 0.342

[3]
First-principles (PBE) data for ZrP2Ru after structural relaxation, as listed in Alexandria via LeMat-Bulk.

Computed properties:
SG: R-3m
Energy of formation from the pure elements: -0.80 eV/atom
Polymorph energy (0 for the lowest one): 0.0243 eV/atom

Lattice parameters (Å, degrees): 3.781 3.781 5.577 70.20 70.20 60.00
Element x y z (fractional)
P 0.485 0.485 0.546
Zr 0.250 0.250 0.250
P 0.015 0.015 0.954
Ru 0.750 0.750 0.750

[4]
First-principles (PBE) data for AcInSeS after structural relaxation, as listed in Alexandria via LeMat-Bulk.

Computed properties:
SG: F-43m
Calculated total energy: -4.876 eV per atom

Lattice parameters (Å, degrees): 5.298 5.298 5.298 60.00 60.00 60.00
Element x y z (fractional)
In 0.500 0.500 0.500
Ac 0.000 0.000 0.000
Se 0.250 0.250 0.250
S 0.750 0.750 0.750